{
  "formula": "LiHfGeIr",
  "functional": "GGA-PBE",
  "state": "relaxed",
  "magmom_total_mub_per_cell": 0.000,
  "e_form_ev_per_atom": -0.74,
  "e_tot_ha_per_atom": -0.2600,
  "space_group": "F-43m",
  "lattice_angstrom": [[-3.2518, -2.4027, 1.7993], [0.4350, -1.5881, 4.1077], [-2.4328, 1.6821, 3.2918]],
  "species": ["Ge", "Ir", "Hf", "Li"],
  "frac_coords": [[0.2500, 0.2500, 0.2500], [0.0000, 0.0000, 0.0000], [0.7500, 0.7500, 0.7500], [0.5000, 0.5000, 0.5000]]
}

---

{
  "formula": "HfNbGe2Ir",
  "functional": "GGA-PBE",
  "state": "relaxed",
  "magmom_total_mub_per_cell": 0.001,
  "e_form_ev_per_atom": 1.17,
  "e_tot_ha_per_atom": -0.2372,
  "space_group": "P4/mmm",
  "lattice_angstrom": [[-1.5062, -0.1672, -4.5879], [3.0762, -3.8876, -0.8682], [-3.5150, -3.0640, 1.2656]],
  "species": ["Nb", "Ir", "Hf", "Ge", "Ge"],
  "frac_coords": [[0.0000, 0.0000, 0.0000], [0.5000, 0.5000, 0.5000], [0.0000, 0.5000, 0.0000], [0.0000, 0.0000, 0.5000], [0.5000, 0.0000, 0.0000]]
}